# Ho2Er3Lu3

Ho2Er3Lu3 after structural relaxation (PBE, OQMD via LeMat-Bulk).

Values from the calculation:
Symmetry: Amm2 (38)
Crystal system: orthorhombic
VASP energy in eV per atom: -4.551
Formation energy in eV/f.u.: 0.00

Geometry as CIF:
```
data_Ho2Er3Lu3
_chemical_formula_sum 'Ho2 Er3 Lu3'
_symmetry_space_group_name_H-M 'P 1'
_symmetry_Int_Tables_number 1
_cell_length_a 5.501
_cell_length_b 7.104
_cell_length_c 7.104
_cell_angle_alpha 60.00
_cell_angle_beta 90.00
_cell_angle_gamma 90.00
loop_
_symmetry_equiv_pos_as_xyz
'x,y,z'
loop_
_atom_site_label
_atom_site_type_symbol
_atom_site_fract_x
_atom_site_fract_y
_atom_site_fract_z
Ho1 Ho 0.000 0.000 0.000
Ho2 Ho 0.500 0.333 0.333
Er1 Er 0.000 0.000 0.501
Er2 Er 0.000 0.501 0.000
Er3 Er 0.500 0.833 0.833
Lu1 Lu 0.000 0.500 0.500
Lu2 Lu 0.500 0.334 0.834
Lu3 Lu 0.500 0.834 0.334
```



# HoEr2Lu

HoEr2Lu after structural relaxation (PBE, OQMD via LeMat-Bulk).

Values from the calculation:
Symmetry: Amm2 (38)
Crystal system: orthorhombic
VASP energy in eV per atom: -4.557
Formation energy in eV/f.u.: 0.00

Geometry as CIF:
```
data_HoEr2Lu
_chemical_formula_sum 'Ho2 Er4 Lu2'
_symmetry_space_group_name_H-M 'P 1'
_symmetry_Int_Tables_number 1
_cell_length_a 5.515
_cell_length_b 7.119
_cell_length_c 7.119
_cell_angle_alpha 60.00
_cell_angle_beta 90.00
_cell_angle_gamma 90.00
loop_
_symmetry_equiv_pos_as_xyz
'x,y,z'
loop_
_atom_site_label
_atom_site_type_symbol
_atom_site_fract_x
_atom_site_fract_y
_atom_site_fract_z
Ho1 Ho 0.000 0.000 0.000
Ho2 Ho 0.500 0.333 0.333
Er1 Er 0.000 0.000 0.500
Er2 Er 0.000 0.500 0.000
Er3 Er 0.000 0.500 0.500
Er4 Er 0.500 0.833 0.833
Lu1 Lu 0.500 0.334 0.833
Lu2 Lu 0.500 0.833 0.334
```



# HoEr2Tm2Lu2Ni2Te2

HoEr2Tm2Lu2Ni2Te2 after structural relaxation (PBE, OQMD via LeMat-Bulk).

Values from the calculation:
Symmetry: Imm2 (44)
Crystal system: orthorhombic
VASP energy in eV per atom: -5.153

Geometry as CIF:
```
data_HoEr2Tm2Lu2Ni2Te2
_chemical_formula_sum 'Ho1 Er2 Tm2 Lu2 Ni2 Te2'
_symmetry_space_group_name_H-M 'P 1'
_symmetry_Int_Tables_number 1
_cell_length_a 9.225
_cell_length_b 9.225
_cell_length_c 9.225
_cell_angle_alpha 156.07
_cell_angle_beta 67.14
_cell_angle_gamma 118.32
loop_
_symmetry_equiv_pos_as_xyz
'x,y,z'
loop_
_atom_site_label
_atom_site_type_symbol
_atom_site_fract_x
_atom_site_fract_y
_atom_site_fract_z
Ho1 Ho 0.000 0.000 0.000
Er1 Er 0.083 0.729 0.353
Er2 Er 0.376 0.729 0.647
Tm1 Tm 0.447 0.582 0.865
Tm2 Tm 0.717 0.582 0.135
Lu1 Lu 0.062 0.377 0.685
Lu2 Lu 0.691 0.377 0.315
Ni1 Ni 0.305 0.069 0.236
Ni2 Ni 0.832 0.069 0.764
Te1 Te 0.339 0.339 0.000
Te2 Te 0.733 0.233 0.500
```



# Y2HoEr2Lu2Ni2Te2

Y2HoEr2Lu2Ni2Te2 after structural relaxation (PBE, OQMD via LeMat-Bulk).

Values from the calculation:
Symmetry: Imm2 (44)
Crystal system: orthorhombic
VASP energy in eV per atom: -5.517

Geometry as CIF:
```
data_Y2HoEr2Lu2Ni2Te2
_chemical_formula_sum 'Y2 Ho1 Er2 Lu2 Ni2 Te2'
_symmetry_space_group_name_H-M 'P 1'
_symmetry_Int_Tables_number 1
_cell_length_a 9.298
_cell_length_b 9.298
_cell_length_c 9.298
_cell_angle_alpha 156.14
_cell_angle_beta 66.98
_cell_angle_gamma 118.46
loop_
_symmetry_equiv_pos_as_xyz
'x,y,z'
loop_
_atom_site_label
_atom_site_type_symbol
_atom_site_fract_x
_atom_site_fract_y
_atom_site_fract_z
Y1 Y 0.147 0.000 0.147
Y2 Y 0.853 0.000 0.853
Ho1 Ho 0.233 0.733 0.500
Er1 Er 0.516 0.149 0.367
Er2 Er 0.782 0.149 0.633
Lu1 Lu 0.167 0.352 0.815
Lu2 Lu 0.537 0.352 0.185
Ni1 Ni 0.401 0.662 0.739
Ni2 Ni 0.924 0.662 0.261
Te1 Te 0.497 0.497 0.000
Te2 Te 0.895 0.395 0.500
```



Among the records above, which one has the lowest VASP energy?
Y2HoEr2Lu2Ni2Te2



VASP energy of number 1 (Ho2Er3Lu3)?
-4.551 eV per atom



Look up the VASP energy of the third one.
-5.153 eV per atom